[1]
Tl3BPt: PBEsol geometry, SCAN.

calculated formation energy = 77.9 kJ per mole of atoms
ρ = 12940 kg/m³
uncorrected energy = -58.132 eV per atom
M_tot = 0.0 μB per cell

```
data_Tl3BPt
_chemical_formula_sum 'Tl3 B1 Pt1'
_symmetry_space_group_name_H-M 'P 1'
_symmetry_Int_Tables_number 1
_symmetry_space_group_name_Hall 'P 1'
_cell_length_a 4.719
_cell_length_b 4.719
_cell_length_c 4.719
_cell_angle_alpha 90.00
_cell_angle_beta 90.00
_cell_angle_gamma 90.00
loop_
_atom_site_label
_atom_site_type_symbol
_atom_site_fract_x
_atom_site_fract_y
_atom_site_fract_z
Tl1 Tl 0.000 0.500 0.000
Tl2 Tl 0.000 0.000 0.500
Tl3 Tl 0.500 0.000 0.000
B1 B 0.000 0.000 0.000
Pt1 Pt 0.500 0.500 0.500
```

***

[2]
MgZn4Co: PBEsol geometry, SCAN.

calculated formation energy = -3.5 kJ per mole of atoms
ρ = 6900 kg/m³
uncorrected energy = -12.759 eV per atom
M_tot = 1.3 μB per cell

```
data_MgZn4Co
_chemical_formula_sum 'Mg1 Zn4 Co1'
_symmetry_space_group_name_H-M 'P 1'
_symmetry_Int_Tables_number 1
_symmetry_space_group_name_Hall 'P 1'
_cell_length_a 4.896
_cell_length_b 4.896
_cell_length_c 4.896
_cell_angle_alpha 60.00
_cell_angle_beta 60.00
_cell_angle_gamma 60.00
loop_
_atom_site_label
_atom_site_type_symbol
_atom_site_fract_x
_atom_site_fract_y
_atom_site_fract_z
Co1 Co 0.750 0.750 0.750
Mg1 Mg 0.000 0.000 0.000
Zn1 Zn 0.376 0.376 0.376
Zn2 Zn 0.376 0.376 0.873
Zn3 Zn 0.873 0.376 0.376
Zn4 Zn 0.376 0.873 0.376
```

***

[3]
LaZn2Rh2: PBEsol geometry, SCAN.

calculated formation energy = -53.1 kJ per mole of atoms
ρ = 9627 kg/m³
E above lowest polymorph = 30 meV/atom
uncorrected energy = -28.086 eV per atom
M_tot = 0.0 μB per cell

```
data_LaZn2Rh2
_chemical_formula_sum 'La2 Zn4 Rh4'
_symmetry_space_group_name_H-M 'P 1'
_symmetry_Int_Tables_number 1
_symmetry_space_group_name_Hall 'P 1'
_cell_length_a 3.033
_cell_length_b 7.355
_cell_length_c 7.355
_cell_angle_alpha 90.00
_cell_angle_beta 90.00
_cell_angle_gamma 90.00
loop_
_atom_site_label
_atom_site_type_symbol
_atom_site_fract_x
_atom_site_fract_y
_atom_site_fract_z
Zn1 Zn 0.500 0.129 0.629
Zn2 Zn 0.500 0.629 0.871
Zn3 Zn 0.500 0.871 0.371
Zn4 Zn 0.500 0.371 0.129
Rh1 Rh 0.000 0.337 0.837
Rh2 Rh 0.000 0.837 0.663
Rh3 Rh 0.000 0.663 0.163
Rh4 Rh 0.000 0.163 0.337
La1 La 0.000 0.000 0.000
La2 La 0.000 0.500 0.500
```

***

[4]
MgScTa2: PBEsol geometry, SCAN.

calculated formation energy = 28.2 kJ per mole of atoms
ρ = 9495 kg/m³
uncorrected energy = -37.802 eV per atom
M_tot = 0.0 μB per cell

```
data_MgScTa2
_chemical_formula_sum 'Mg1 Sc1 Ta2'
_symmetry_space_group_name_H-M 'P 1'
_symmetry_Int_Tables_number 1
_symmetry_space_group_name_Hall 'P 1'
_cell_length_a 4.286
_cell_length_b 4.286
_cell_length_c 5.102
_cell_angle_alpha 114.83
_cell_angle_beta 114.83
_cell_angle_gamma 90.00
loop_
_atom_site_label
_atom_site_type_symbol
_atom_site_fract_x
_atom_site_fract_y
_atom_site_fract_z
Mg1 Mg 0.500 0.500 0.000
Sc1 Sc 0.250 0.750 0.500
Ta1 Ta 0.000 0.000 0.000
Ta2 Ta 0.750 0.250 0.500
```